# Mn2HgAsCl (PBE, relaxed)
# - total energy (eV/cell) = -21.6
# - uncorrected formation energy (eV/atom) = 0.715
# - magnetization (μB per atom) = 1.64
data_Mn2HgAsCl
_chemical_formula_sum 'Mn2 Hg1 As1 Cl1'
_space_group_name_H-M_alt 'P 4/m m m'
_space_group_IT_number 123
_space_group_name_Hall '-P 4 2'
_cell_length_a 4.429
_cell_length_b 4.429
_cell_length_c 5.854
_cell_angle_alpha 90.00
_cell_angle_beta 90.00
_cell_angle_gamma 90.00
loop_
_atom_site_label
_atom_site_fract_x
_atom_site_fract_y
_atom_site_fract_z
Mn1 0.000 0.500 0.000
Hg1 0.000 0.000 0.500
As1 0.500 0.500 0.500
Cl1 0.000 0.000 0.000